Entry 1:
LiTe2Os: PBEsol geometry, meta-GGA SCAN.

Results
The calculation puts the energy relative to the elements, uncorrected at 0.047 eV/atom.

CIF file:
```
data_LiTe2Os
_chemical_formula_sum 'Li2 Te4 Os2'
_symmetry_space_group_name_H-M 'P 1'
_symmetry_Int_Tables_number 1
_cell_length_a 3.1818
_cell_length_b 3.9920
_cell_length_c 13.1532
_cell_angle_alpha 90.00
_cell_angle_beta 90.00
_cell_angle_gamma 90.00
loop_
_symmetry_equiv_pos_as_xyz
'x,y,z'
loop_
_atom_site_label
_atom_site_type_symbol
_atom_site_fract_x
_atom_site_fract_y
_atom_site_fract_z
Li1 Li 0.0000 0.0000 0.0000
Li2 Li 0.5000 0.5000 0.5000
Te1 Te 0.0000 0.0000 0.3956
Te2 Te 0.0000 0.5000 0.1586
Te3 Te 0.5000 0.0000 0.6586
Te4 Te 0.5000 0.5000 0.8956
Os1 Os 0.0000 0.5000 0.7323
Os2 Os 0.5000 0.0000 0.2323
```

***

Entry 2:
LiTlOs2: PBEsol geometry, meta-GGA SCAN.

Results
As for the formation energy: 643 meV/atom. Its energy above the most stable polymorph in this dataset is 0.0000 eV/atom.

CIF file:
```
data_LiTlOs2
_chemical_formula_sum 'Li2 Tl2 Os4'
_symmetry_space_group_name_H-M 'P 1'
_symmetry_Int_Tables_number 1
_cell_length_a 5.3211
_cell_length_b 9.6721
_cell_length_c 2.8012
_cell_angle_alpha 90.00
_cell_angle_beta 120.06
_cell_angle_gamma 90.00
loop_
_symmetry_equiv_pos_as_xyz
'x,y,z'
loop_
_atom_site_label
_atom_site_type_symbol
_atom_site_fract_x
_atom_site_fract_y
_atom_site_fract_z
Li1 Li 0.0000 0.0000 0.0000
Li2 Li 0.5000 0.5000 0.0000
Tl1 Tl 0.0000 0.5000 0.0000
Tl2 Tl 0.5000 0.0000 0.0000
Os1 Os 0.2500 0.2500 0.5000
Os2 Os 0.2500 0.7500 0.5000
Os3 Os 0.7500 0.2500 0.5000
Os4 Os 0.7500 0.7500 0.5000
```

***

Entry 3:
LiTlOs2: PBEsol geometry, meta-GGA SCAN.

Results
As for the formation energy: 720 meV/atom. Its energy above the most stable polymorph in this dataset is 0.0770 eV/atom.

CIF file:
```
data_LiTlOs2
_chemical_formula_sum 'Li1 Tl1 Os2'
_symmetry_space_group_name_H-M 'P 1'
_symmetry_Int_Tables_number 1
_cell_length_a 3.7347
_cell_length_b 3.7347
_cell_length_c 4.4204
_cell_angle_alpha 90.00
_cell_angle_beta 90.00
_cell_angle_gamma 90.00
loop_
_symmetry_equiv_pos_as_xyz
'x,y,z'
loop_
_atom_site_label
_atom_site_type_symbol
_atom_site_fract_x
_atom_site_fract_y
_atom_site_fract_z
Li1 Li 0.0000 0.0000 0.0000
Tl1 Tl 0.5000 0.5000 0.0000
Os1 Os 0.0000 0.5000 0.5000
Os2 Os 0.5000 0.0000 0.5000
```

***

Entry 4:
Li2TlOs: PBEsol geometry, meta-GGA SCAN.

Results
As for the formation energy: 315 meV/atom.

CIF file:
```
data_Li2TlOs
_chemical_formula_sum 'Li2 Tl1 Os1'
_symmetry_space_group_name_H-M 'P 1'
_symmetry_Int_Tables_number 1
_cell_length_a 2.7123
_cell_length_b 4.2539
_cell_length_c 5.5726
_cell_angle_alpha 90.00
_cell_angle_beta 90.00
_cell_angle_gamma 90.00
loop_
_symmetry_equiv_pos_as_xyz
'x,y,z'
loop_
_atom_site_label
_atom_site_type_symbol
_atom_site_fract_x
_atom_site_fract_y
_atom_site_fract_z
Li1 Li 0.0000 0.0000 0.0000
Li2 Li 0.5000 0.5000 0.2549
Tl1 Tl 0.5000 0.5000 0.7387
Os1 Os 0.0000 0.0000 0.4757
```

***

Entry 5:
Li2TlOs: PBEsol geometry, meta-GGA SCAN.

Results
As for the formation energy: 446 meV/atom.

CIF file:
```
data_Li2TlOs
_chemical_formula_sum 'Li6 Tl3 Os3'
_symmetry_space_group_name_H-M 'P 1'
_symmetry_Int_Tables_number 1
_cell_length_a 2.9189
_cell_length_b 2.9189
_cell_length_c 28.3172
_cell_angle_alpha 90.00
_cell_angle_beta 90.00
_cell_angle_gamma 120.00
loop_
_symmetry_equiv_pos_as_xyz
'x,y,z'
loop_
_atom_site_label
_atom_site_type_symbol
_atom_site_fract_x
_atom_site_fract_y
_atom_site_fract_z
Li1 Li 0.0000 0.0000 0.0000
Li2 Li 0.0000 0.0000 0.2407
Li3 Li 0.3333 0.6667 0.6667
Li4 Li 0.3333 0.6667 0.9074
Li5 Li 0.6667 0.3333 0.3333
Li6 Li 0.6667 0.3333 0.5740
Tl1 Tl 0.0000 0.0000 0.4899
Tl2 Tl 0.3333 0.6667 0.1566
Tl3 Tl 0.6667 0.3333 0.8233
Os1 Os 0.0000 0.0000 0.7407
Os2 Os 0.3333 0.6667 0.4074
Os3 Os 0.6667 0.3333 0.0740
```

***

Entry 6:
Li2TlOs: PBEsol geometry, meta-GGA SCAN.

Results
As for the formation energy: 278 meV/atom.

CIF file:
```
data_Li2TlOs
_chemical_formula_sum 'Li4 Tl2 Os2'
_symmetry_space_group_name_H-M 'P 1'
_symmetry_Int_Tables_number 1
_cell_length_a 3.0596
_cell_length_b 4.5329
_cell_length_c 9.1646
_cell_angle_alpha 90.00
_cell_angle_beta 90.00
_cell_angle_gamma 90.00
loop_
_symmetry_equiv_pos_as_xyz
'x,y,z'
loop_
_atom_site_label
_atom_site_type_symbol
_atom_site_fract_x
_atom_site_fract_y
_atom_site_fract_z
Li1 Li 0.0000 0.0000 0.2386
Li2 Li 0.0000 0.0000 0.7614
Li3 Li 0.5000 0.5000 0.2614
Li4 Li 0.5000 0.5000 0.7386
Tl1 Tl 0.0000 0.5000 0.0000
Tl2 Tl 0.5000 0.0000 0.5000
Os1 Os 0.0000 0.5000 0.5000
Os2 Os 0.5000 0.0000 0.0000
```

***

Entry 7:
LiOs2W: PBEsol geometry, meta-GGA SCAN.

Results
As for the formation energy: 151 meV/atom.

CIF file:
```
data_LiOs2W
_chemical_formula_sum 'Li1 Os2 W1'
_symmetry_space_group_name_H-M 'P 1'
_symmetry_Int_Tables_number 1
_cell_length_a 4.2389
_cell_length_b 4.2389
_cell_length_c 3.0594
_cell_angle_alpha 90.00
_cell_angle_beta 90.00
_cell_angle_gamma 90.00
loop_
_symmetry_equiv_pos_as_xyz
'x,y,z'
loop_
_atom_site_label
_atom_site_type_symbol
_atom_site_fract_x
_atom_site_fract_y
_atom_site_fract_z
Li1 Li 0.0000 0.0000 0.0000
Os1 Os 0.0000 0.5000 0.5000
Os2 Os 0.5000 0.0000 0.5000
W1 W 0.5000 0.5000 0.0000
```

***

Entry 8:
LiOs2W: PBEsol geometry, meta-GGA SCAN.

Results
As for the formation energy: 445 meV/atom.

CIF file:
```
data_LiOs2W
_chemical_formula_sum 'Li1 Os2 W1'
_symmetry_space_group_name_H-M 'P 1'
_symmetry_Int_Tables_number 1
_cell_length_a 3.0638
_cell_length_b 3.0638
_cell_length_c 5.7404
_cell_angle_alpha 90.00
_cell_angle_beta 90.00
_cell_angle_gamma 90.00
loop_
_symmetry_equiv_pos_as_xyz
'x,y,z'
loop_
_atom_site_label
_atom_site_type_symbol
_atom_site_fract_x
_atom_site_fract_y
_atom_site_fract_z
Li1 Li 0.0000 0.0000 0.0000
Os1 Os 0.0000 0.0000 0.5004
Os2 Os 0.5000 0.5000 0.1953
W1 W 0.5000 0.5000 0.7566
```

***

Entry 9:
LiOsW2: PBEsol geometry, meta-GGA SCAN.

Results
As for the formation energy: 485 meV/atom.

CIF file:
```
data_LiOsW2
_chemical_formula_sum 'Li1 Os1 W2'
_symmetry_space_group_name_H-M 'P 1'
_symmetry_Int_Tables_number 1
_cell_length_a 2.7196
_cell_length_b 2.7196
_cell_length_c 8.0322
_cell_angle_alpha 90.00
_cell_angle_beta 90.00
_cell_angle_gamma 90.00
loop_
_symmetry_equiv_pos_as_xyz
'x,y,z'
loop_
_atom_site_label
_atom_site_type_symbol
_atom_site_fract_x
_atom_site_fract_y
_atom_site_fract_z
Li1 Li 0.0000 0.0000 0.0000
Os1 Os 0.5000 0.5000 0.2366
W1 W 0.0000 0.0000 0.4655
W2 W 0.5000 0.5000 0.7355
```

***

Entry 10:
LiOs2W: PBEsol geometry, meta-GGA SCAN.

Results
As for the formation energy: 267 meV/atom.

CIF file:
```
data_LiOs2W
_chemical_formula_sum 'Li2 Os4 W2'
_symmetry_space_group_name_H-M 'P 1'
_symmetry_Int_Tables_number 1
_cell_length_a 2.8776
_cell_length_b 4.4746
_cell_length_c 8.9969
_cell_angle_alpha 90.00
_cell_angle_beta 90.00
_cell_angle_gamma 90.00
loop_
_symmetry_equiv_pos_as_xyz
'x,y,z'
loop_
_atom_site_label
_atom_site_type_symbol
_atom_site_fract_x
_atom_site_fract_y
_atom_site_fract_z
Li1 Li 0.0000 0.0000 0.0000
Li2 Li 0.5000 0.5000 0.0000
Os1 Os 0.0000 0.5000 0.2518
Os2 Os 0.0000 0.5000 0.7482
Os3 Os 0.5000 0.0000 0.2518
Os4 Os 0.5000 0.0000 0.7482
W1 W 0.0000 0.0000 0.5000
W2 W 0.5000 0.5000 0.5000
```

***

Entry 11:
LiY2Os: PBEsol geometry, meta-GGA SCAN.

Results
As for the formation energy: -245 meV/atom. Its energy above the most stable polymorph in this dataset is 0.0522 eV/atom.

CIF file:
```
data_LiY2Os
_chemical_formula_sum 'Li1 Y2 Os1'
_symmetry_space_group_name_H-M 'P 1'
_symmetry_Int_Tables_number 1
_cell_length_a 3.3745
_cell_length_b 3.3745
_cell_length_c 8.1321
_cell_angle_alpha 90.00
_cell_angle_beta 90.00
_cell_angle_gamma 90.00
loop_
_symmetry_equiv_pos_as_xyz
'x,y,z'
loop_
_atom_site_label
_atom_site_type_symbol
_atom_site_fract_x
_atom_site_fract_y
_atom_site_fract_z
Li1 Li 0.0000 0.0000 0.0000
Y1 Y 0.5000 0.5000 0.2988
Y2 Y 0.5000 0.5000 0.7012
Os1 Os 0.0000 0.0000 0.5000
```

***

Entry 12:
LiY2Os: PBEsol geometry, meta-GGA SCAN.

Results
As for the formation energy: -31 meV/atom. Its energy above the most stable polymorph in this dataset is 0.2664 eV/atom.

CIF file:
```
data_LiY2Os
_chemical_formula_sum 'Li2 Y4 Os2'
_symmetry_space_group_name_H-M 'P 1'
_symmetry_Int_Tables_number 1
_cell_length_a 3.4113
_cell_length_b 4.8059
_cell_length_c 10.5430
_cell_angle_alpha 90.00
_cell_angle_beta 90.00
_cell_angle_gamma 90.00
loop_
_symmetry_equiv_pos_as_xyz
'x,y,z'
loop_
_atom_site_label
_atom_site_type_symbol
_atom_site_fract_x
_atom_site_fract_y
_atom_site_fract_z
Li1 Li 0.0000 0.0000 0.0000
Li2 Li 0.5000 0.5000 0.5000
Y1 Y 0.0000 0.0000 0.4015
Y2 Y 0.0000 0.5000 0.1969
Y3 Y 0.5000 0.0000 0.6969
Y4 Y 0.5000 0.5000 0.9015
Os1 Os 0.0000 0.5000 0.6918
Os2 Os 0.5000 0.0000 0.1918
```

***

Listing Fermi-level density of states for the structures above in their given order: 0.495, 0.815, 0.813, 0.444, 0.498, 0.407, 0.607, 0.720, 0.782, 0.703, 0.500, 0.762 states/eV per atom.